[1]
RuPtCl3 | PBE | relaxed

Output
DOS(E_F), states/eV/f.u.: 7.62
Total DFT energy (no corrections), eV/cell: -17.54
E_form (uncorrected), meV per atom: 663
Energy above the lowest structure with this stoichiometry, meV/atom: 0.0

Structure (POSCAR):
```
RuPtCl3
1.0
4.7472 0.0000 0.0000
0.0000 4.7472 0.0000
0.0000 0.0000 4.7472
Cl Pt Ru
3 1 1
Cartesian
2.3736 0.0000 0.0000
0.0000 2.3736 0.0000
0.0000 0.0000 2.3736
2.3736 2.3736 2.3736
0.0000 0.0000 0.0000
```


[2]
Tb8Er3Tm3 | PBE | relaxed

Output
DOS(E_F), states/eV/f.u.: 19.59
Total DFT energy (no corrections), eV/cell: -62.49
DFT formation energy, eV per atom: 0.12
Energy above the lowest structure with this stoichiometry, meV/atom: 2.6

Structure (POSCAR):
```
Tb8Er3Tm3
1.0
-4.3713 -1.7197 -2.9756
-0.4322 -9.4877 0.9227
-7.8275 2.7620 4.7070
Tm Tb Er
3 8 3
Cartesian
-1.7723 -7.2680 1.6084
-6.4875 0.5423 4.0213
-2.1857 -0.8599 -1.4878
-4.2738 -1.2922 1.8296
-5.2808 -7.7459 1.8432
-9.8899 -4.6145 1.6088
-8.5795 -2.2820 3.5312
-2.7411 -3.8310 1.0453
-8.3572 -7.1533 0.8245
-4.0516 -6.1635 -0.8771
-7.3502 -0.6995 0.8108
-7.4822 -5.7247 3.9090
-5.1488 -2.7207 -1.2550
-6.3155 -4.2227 1.3270
```


[3]
Rh3Pb4 | PBE | relaxed

Output
DOS(E_F), states/eV/f.u.: 9.06
Total DFT energy (no corrections), eV/cell: -35.02
DFT formation energy, eV per atom: 0.27
Energy above the lowest structure with this stoichiometry, meV/atom: 287.7

Structure (POSCAR):
```
Rh3Pb4
1.0
-1.2171 4.2667 3.2321
1.1442 0.8150 -5.3065
-5.7429 -0.6271 -1.3346
Rh Pb
3 4
Cartesian
-0.0364 2.5409 -1.0372
0.5721 0.4075 -2.6533
-0.6085 2.1334 1.6160
-2.5143 1.6520 -3.1276
-4.3630 -0.4764 -1.0140
-3.3014 2.8026 -0.2814
-1.3798 -0.1507 -0.3207
```


[4]
BeBiTeN2 | PBE | relaxed

Output
DOS(E_F), states/eV/f.u.: 2.61
Total DFT energy (no corrections), eV/cell: -20.36
E_form (uncorrected), meV per atom: 1407
Energy above the lowest structure with this stoichiometry, meV/atom: 0.0

Structure (POSCAR):
```
BeBiTeN2
1.0
-0.7005 -3.5751 2.0187
2.9968 0.9546 2.7304
-3.3586 2.2879 2.8865
Be Te N Bi
1 1 2 1
Cartesian
0.0000 0.0000 0.0000
-1.6793 1.1440 1.4432
-0.3502 -1.7876 1.0093
1.4984 0.4773 1.3652
-0.5312 -0.1663 3.8178
```


What is the energy above the lowest structure with this stoichiometry in the third record? 287.7 meV/atom


energy above the lowest structure with this stoichiometry of number 2 (Tb8Er3Tm3)? 2.6 meV/atom


Look up the total DFT energy (no corrections) of the fourth one. -20.36 eV/cell